Computed, not measured: crystalline KMoIr at its relaxed geometry at the PBE-GGA level of DFT.

```
KMoIr
1.0
-2.222 0.993 1.516
0.262 -2.814 -0.484
4.336 -0.776 6.864
Mo Ir K
1 1 1
Cartesian
1.698 -0.829 5.744
4.191 -0.750 6.633
0.824 -1.794 2.383
```

Summary:
- Calculated density: 9.4 Mg/m³
- Crystal system: trigonal
- N(E_F): 2.8 states/eV/f.u.
- VASP energy: -18.6 eV/cell
- Total magnetization: 0.000 μB/atom

Computed, not measured: crystalline K2MoIr at its relaxed geometry at the PBE-GGA level of DFT.

```
K2MoIr
1.0
-2.603 -11.595 2.824
0.896 -3.072 -11.788
1.478 -7.785 -4.187
Ir K Mo
2 4 2
Cartesian
0.000 0.000 0.000
-0.990 -13.357 -2.923
-1.549 -14.905 -5.726
-1.596 -11.582 -0.267
0.313 -10.808 -4.463
-1.127 -16.132 -1.235
-0.854 -7.333 -4.482
0.760 -9.095 -10.229
```

Summary:
- Calculated density: 3.4 Mg/m³
- Crystal system: tetragonal
- N(E_F): 4.0 states/eV/f.u.
- VASP energy: -34.4 eV/cell
- Total magnetization: 0.968 μB/atom

Computed, not measured: crystalline KMo2Ir at its relaxed geometry at the PBE-GGA level of DFT.

```
KMo2Ir
1.0
5.728 -0.002 -0.002
2.563 5.122 0.002
-3.330 -3.880 2.581
Mo Ir K
2 1 1
Cartesian
7.978 4.927 0.000
3.365 -0.603 1.289
4.401 2.718 0.000
1.653 1.879 1.292
```

Summary:
- Calculated density: 9.3 Mg/m³
- Crystal system: orthorhombic
- N(E_F): 3.4 states/eV/f.u.
- VASP energy: -27.3 eV/cell
- Total magnetization: 0.087 μB/atom

Computed, not measured: crystalline K2MoIr at its relaxed geometry at the PBE-GGA level of DFT.

```
K2MoIr
1.0
-3.728 -2.632 2.801
-5.187 1.087 -0.765
-3.153 -3.575 -2.439
Mo Ir K
1 1 2
Cartesian
0.000 0.000 0.000
-6.035 -2.560 -0.201
-3.017 -1.280 -0.101
-9.052 -3.841 -0.302
```

Summary:
- Calculated density: 5.6 Mg/m³
- Crystal system: cubic
- N(E_F): 2.4 states/eV/f.u.
- VASP energy: -14.4 eV/cell
- Total magnetization: 1.210 μB/atom

Computed, not measured: crystalline KMo2Ir at its relaxed geometry at the PBE-GGA level of DFT.

```
KMo2Ir
1.0
-4.140 3.366 0.011
-4.651 -1.918 -1.776
3.740 -1.539 3.480
Ir Mo K
1 2 1
Cartesian
-2.654 -1.367 0.411
0.000 0.000 0.000
-4.395 0.724 -0.882
-2.398 1.276 1.305
```

Summary:
- Calculated density: 9.9 Mg/m³
- Crystal system: tetragonal
- N(E_F): 5.9 states/eV/f.u.
- VASP energy: -25.6 eV/cell
- Total magnetization: 0.000 μB/atom

Computed, not measured: crystalline KMoIr2 at its relaxed geometry at the PBE-GGA level of DFT.

```
KMoIr2
1.0
-3.243 -1.220 2.810
-3.373 -2.854 0.620
4.315 -5.088 3.541
Mo Ir K
1 2 1
Cartesian
-0.575 -2.290 1.743
-6.131 -4.507 3.725
-1.635 -4.148 3.191
-1.725 -6.871 5.228
```

Summary:
- Calculated density: 9.9 Mg/m³
- Crystal system: monoclinic
- N(E_F): 3.5 states/eV/f.u.
- VASP energy: -27.5 eV/cell
- Total magnetization: 0.000 μB/atom